YTcN3 | the Alexandria database | PBE | relaxed; formation energy (no corrections) = -0.005 eV per atom
1.0
0.0000 5.1047 5.1047
5.1047 0.0000 5.1047
5.1047 5.1047 0.0000
Y Tc N
4 4 12
direct
0.0000 0.0000 0.0000 Y
0.0000 0.0000 0.5000 Y
0.0000 0.5000 0.0000 Y
0.5000 0.0000 0.0000 Y
0.0000 0.5000 0.5000 Tc
0.5000 0.0000 0.5000 Tc
0.5000 0.5000 0.0000 Tc
0.5000 0.5000 0.5000 Tc
0.1695 0.1695 0.5805 N
0.1695 0.5805 0.1695 N
0.1695 0.5805 0.5805 N
0.4195 0.4195 0.8305 N
0.4195 0.8305 0.4195 N
0.4195 0.8305 0.8305 N
0.5805 0.1695 0.1695 N
0.5805 0.1695 0.5805 N
0.5805 0.5805 0.1695 N
0.8305 0.4195 0.4195 N
0.8305 0.4195 0.8305 N
0.8305 0.8305 0.4195 N



Ac2LaThP4 | the Alexandria database | PBE | relaxed; E_tot = -54.4 eV for the cell shown
1.0
7.4695 0.0000 0.0000
0.0000 4.3108 0.0000
-2.4819 0.0000 7.0736
Ac La Th P
2 1 1 4
direct
0.0000 0.0000 0.0000 Ac
0.5000 0.5000 0.0000 Ac
0.0000 0.5000 0.5000 La
0.5000 0.0000 0.5000 Th
0.2515 0.0000 0.7351 P
0.2614 0.5000 0.2679 P
0.7386 0.5000 0.7321 P
0.7485 0.0000 0.2649 P



Y3Ge3Pd2 | the Alexandria database | PBE | relaxed; distance to the lowest polymorph of the same formula = 54.8 meV per atom
1.0
8.0103 0.0000 0.0000
0.0000 14.4979 0.0000
0.0000 0.0000 5.7820
Y Ge Pd
12 12 8
direct
0.0380 0.1100 0.1345 Y
0.0380 0.3900 0.1345 Y
0.1856 0.2500 0.6280 Y
0.3144 0.7500 0.1280 Y
0.4620 0.6100 0.6345 Y
0.4620 0.8900 0.6345 Y
0.5380 0.1100 0.3655 Y
0.5380 0.3900 0.3655 Y
0.6856 0.2500 0.8720 Y
0.8144 0.7500 0.3720 Y
0.9620 0.6100 0.8655 Y
0.9620 0.8900 0.8655 Y
0.1795 0.7500 0.6171 Ge
0.2017 0.0402 0.6001 Ge
0.2017 0.4598 0.6001 Ge
0.2983 0.5402 0.1001 Ge
0.2983 0.9598 0.1001 Ge
0.3205 0.2500 0.1171 Ge
0.6795 0.7500 0.8829 Ge
0.7017 0.0402 0.8999 Ge
0.7017 0.4598 0.8999 Ge
0.7983 0.5402 0.3999 Ge
0.7983 0.9598 0.3999 Ge
0.8205 0.2500 0.3829 Ge
0.0886 0.6048 0.3757 Pd
0.0886 0.8952 0.3757 Pd
0.4114 0.1048 0.8757 Pd
0.4114 0.3952 0.8757 Pd
0.5886 0.6048 0.1243 Pd
0.5886 0.8952 0.1243 Pd
0.9114 0.1048 0.6243 Pd
0.9114 0.3952 0.6243 Pd



NaTa2Nb | the Alexandria database | PBE | relaxed; distance to the lowest polymorph of the same formula = 0.0 meV per atom
1.0
0.0000 3.3503 3.3503
3.3503 0.0000 3.3503
3.3503 3.3503 0.0000
Na Ta Nb
1 2 1
direct
0.0000 0.0000 0.0000 Na
0.2500 0.2500 0.2500 Ta
0.7500 0.7500 0.7500 Ta
0.5000 0.5000 0.5000 Nb